[1]
# LiPr2BPt6

A relaxed structure of LiPr2BPt6 (PBE-GGA, Alexandria).

Computed properties:
crystal system = orthorhombic
D(E_F) = 0.322 states/eV per atom
uncorrected energy = -124.7 eV/cell

abc: 5.6448 8.7870 7.4660
angles: 90.00 90.00 90.00
With the nearest neighbours (Å) after each atom.
Space group Pmmn (No. 59, origin choice 2)
Inequivalent atoms, fractional coordinates:
1 Li 0.2500 0.2500 0.1906  6 Pt 2.52-2.64
2 Pr 0.2500 0.5337 0.7914  9 Pt 3.01-3.24
3 B 0.2500 0.7500 0.3003  6 Pt 2.12-2.24
4 Pt 0.0016 0.7500 0.0881  1 B 2.12
5 Pt 0.0113 0.2500 0.4907  1 B 2.15
6 Pt 0.2500 0.5042 0.3782  1 B 2.24

[2]
# LiPr2B2Rh5

A relaxed structure of LiPr2B2Rh5 (PBE-GGA, Alexandria).

Computed properties:
crystal system = tetragonal
D(E_F) = 0.536 states/eV per atom
uncorrected energy = -133.3 eV/cell

abc: 9.7684 9.7684 3.2427
angles: 90.00 90.00 90.00
With the nearest neighbours (Å) after each atom.
Space group P4/mbm (No. 127)
Inequivalent atoms, fractional coordinates:
1 Li 0.0000 0.0000 0.0000  8 Rh 2.83
2 Pr 0.1770 0.3230 0.0000  3 B 2.77-2.97, 10 Rh 2.93-3.05
3 B 0.1224 0.6224 0.0000  6 Rh 2.25-2.34
4 Rh 0.0000 0.5000 0.5000  4 B 2.34
5 Rh 0.0694 0.7735 0.5000  2 B 2.25

[3]
# LiB2Pt2

A relaxed structure of LiB2Pt2 (PBE-GGA, Alexandria).

Computed properties:
crystal system = tetragonal
energy above the most stable polymorph in this dataset = 0.021 eV per atom
D(E_F) = 0.124 states/eV per atom

abc: 3.1994 3.1994 11.4237
angles: 90.00 90.00 90.00
With the nearest neighbours (Å) after each atom.
Space group I4/mmm (No. 139)
Inequivalent atoms, fractional coordinates:
1 Li 0.0000 0.0000 0.0000  8 Pt 2.66
2 B 0.0000 0.5000 0.2500  4 Pt 2.16, 4 B 2.26
3 Pt 0.0000 0.0000 0.3767  4 B 2.16

[4]
# LiBPt3

A relaxed structure of LiBPt3 (PBE-GGA, Alexandria).

Computed properties:
crystal system = hexagonal
energy above the most stable polymorph in this dataset = 0.000 eV per atom
D(E_F) = 0.273 states/eV per atom

abc: 9.3546 9.3546 2.7970
angles: 90.00 90.00 120.00
With the nearest neighbours (Å) after each atom.
Space group P-62m (No. 189)
Inequivalent atoms, fractional coordinates:
1 Li 0.0000 0.3635 0.0000  2 Li 2.80, 10 Pt 2.93-2.96, 2 B 2.99
2 B 0.0000 0.0000 0.5000  6 Pt 2.17
3 B 0.3333 0.6667 0.0000  6 Pt 2.16
4 Pt 0.0000 0.8227 0.0000  2 B 2.17
5 Pt 0.1652 0.6815 0.5000  2 B 2.16

[5]
# LiBPt3

A relaxed structure of LiBPt3 (PBE-GGA, Alexandria).

Computed properties:
crystal system = cubic
energy above the most stable polymorph in this dataset = 1.731 eV per atom
D(E_F) = 0.163 states/eV per atom

abc: 4.1720 4.1720 4.1720
angles: 90.00 90.00 90.00
With the nearest neighbours (Å) after each atom.
Space group Pm-3m (No. 221)
Inequivalent atoms, fractional coordinates:
1 Li 0.0000 0.0000 0.0000  6 Pt 2.09
2 B 0.5000 0.5000 0.5000  12 Pt 2.95
3 Pt 0.0000 0.0000 0.5000  2 Li 2.09

[6]
# LiB3Pt6

A relaxed structure of LiB3Pt6 (PBE-GGA, Alexandria).

Computed properties:
crystal system = triclinic
D(E_F) = 0.390 states/eV per atom
uncorrected energy = -61.7 eV/cell

abc: 5.4569 5.4913 5.4958
angles: 118.94 98.95 98.37
With the nearest neighbours (Å) after each atom.
Space group P1 (No. 1)
Inequivalent atoms, fractional coordinates:
1 Li 0.0000 0.0000 0.0000  1 B 2.59, 3 Pt 2.72-2.73
2 B 0.5033 0.8453 0.8449  4 Pt 2.09-2.19
3 B 0.8369 0.2891 0.6355  6 Pt 2.14-2.24
4 B 0.8369 0.6351 0.2867  6 Pt 2.14-2.24
5 Pt 0.1153 0.0414 0.5205  2 B 2.14-2.15
6 Pt 0.1165 0.5201 0.0422  2 B 2.14-2.15
7 Pt 0.1273 0.5623 0.5628  3 B 2.19-2.24
8 Pt 0.5817 0.8892 0.2514  3 B 2.09-2.22
9 Pt 0.5829 0.2511 0.8870  3 B 2.10-2.22
10 Pt 0.6002 0.5049 0.5026  3 B 2.12-2.15

[7]
# Li2B3Pt8

A relaxed structure of Li2B3Pt8 (PBE-GGA, Alexandria).

Computed properties:
crystal system = monoclinic
D(E_F) = 0.526 states/eV per atom
uncorrected energy = -149.7 eV/cell

abc: 10.1510 7.7766 5.2666
angles: 90.00 108.57 90.00
With the nearest neighbours (Å) after each atom.
Space group C2/m (No. 12)
Inequivalent atoms, fractional coordinates:
1 Li 0.1372 0.0000 0.1835  5 Pt 2.61-2.82, 1 Li 2.84
2 B 0.0000 0.2193 0.5000  4 Pt 2.11-2.18
3 B 0.0000 0.5000 0.0000  6 Pt 2.03-2.17
4 Pt 0.1193 0.5000 0.3911  1 B 2.03
5 Pt 0.1291 0.3236 0.8647  2 B 2.11-2.17
6 Pt 0.1317 0.0000 0.6762  2 B 2.18

[8]
# Li2BPt6

A relaxed structure of Li2BPt6 (PBE-GGA, Alexandria).

Computed properties:
crystal system = cubic
D(E_F) = 1.013 states/eV per atom
uncorrected energy = -203.7 eV/cell

abc: 8.0459 8.0459 8.0459
angles: 90.00 90.00 90.00
With the nearest neighbours (Å) after each atom.
Space group Fm-3m (No. 225)
Inequivalent atoms, fractional coordinates:
1 Li 0.2500 0.2500 0.2500  12 Pt 2.85
2 B 0.0000 0.0000 0.0000  6 Pt 2.09
3 Pt 0.0000 0.0000 0.2592  1 B 2.09

[9]
# Li2BPt2

A relaxed structure of Li2BPt2 (PBE-GGA, Alexandria).

Computed properties:
crystal system = tetragonal
D(E_F) = 0.199 states/eV per atom
uncorrected energy = -51.1 eV/cell

abc: 5.6236 5.6236 4.3958
angles: 90.00 90.00 90.00
With the nearest neighbours (Å) after each atom.
Space group P4/mbm (No. 127)
Inequivalent atoms, fractional coordinates:
1 Li 0.1618 0.3382 0.0000  1 Li 2.57, 6 Pt 2.59-2.87
2 B 0.0000 0.0000 0.5000  4 Pt 2.10
3 Pt 0.1658 0.6658 0.5000  2 B 2.10

[10]
# Li2B2Pt3

A relaxed structure of Li2B2Pt3 (PBE-GGA, Alexandria).

Computed properties:
crystal system = monoclinic
D(E_F) = 0.458 states/eV per atom
uncorrected energy = -75.7 eV/cell

abc: 9.7446 3.1387 7.1590
angles: 90.00 122.53 90.00
With the nearest neighbours (Å) after each atom.
Space group C2/m (No. 12)
Inequivalent atoms, fractional coordinates:
1 Li 0.1543 0.0000 0.2971  3 B 2.62-2.79, 5 Pt 2.73-2.86, 2 Li 2.92
2 B 0.1348 0.0000 0.7615  5 Pt 2.15-2.25
3 Pt 0.0000 0.5000 0.5000  4 B 2.25
4 Pt 0.1138 0.5000 0.9507  3 B 2.15-2.20

[11]
# LiBPt

A relaxed structure of LiBPt (PBE-GGA, Alexandria).

Computed properties:
crystal system = triclinic
D(E_F) = 0.194 states/eV per atom
uncorrected energy = -31.8 eV/cell

abc: 4.2118 4.2232 4.6897
angles: 78.67 78.66 78.25
With the nearest neighbours (Å) after each atom.
Space group P-1 (No. 2)
Inequivalent atoms, fractional coordinates:
1 Li 0.2430 0.2555 0.0012  2 B 2.39, 1 Li 2.59
2 B 0.3285 0.1709 0.5014  1 B 1.82
3 Pt 0.2093 0.7090 0.4501  4 B 2.17-2.20

[12]
# LiBPt4

A relaxed structure of LiBPt4 (PBE-GGA, Alexandria).

Computed properties:
crystal system = monoclinic
D(E_F) = 0.601 states/eV per atom
uncorrected energy = -68.0 eV/cell

abc: 5.5945 5.6262 5.5841
angles: 90.00 104.80 90.00
With the nearest neighbours (Å) after each atom.
Space group Cm (No. 8)
Inequivalent atoms, fractional coordinates:
1 Li 0.0000 0.0000 0.0000  8 Pt 2.41-2.50
2 B 0.1024 0.5000 0.4420  6 Pt 2.14-2.22
3 Pt 0.2024 0.2440 0.7332  1 B 2.14
4 Pt 0.3133 0.2504 0.2662  2 B 2.18-2.22, 1 Li 2.44

> D(E_F) of number 10 (Li2B2Pt3)?

0.458 states/eV per atom